(1)
# Ca4Ga2Au

A relaxed structure of Ca4Ga2Au (PBE, Alexandria).

a b c (Å): 5.1815 5.1815 25.5004
angles (deg): 90.00 90.00 120.00
Space group R-3m (No. 166, hexagonal axes)
Asymmetric unit:
Ca1 0.0000 0.0000 0.1235
Ca2 0.0000 0.0000 0.3735
Ga1 0.0000 0.0000 0.2496
Au1 0.0000 0.0000 0.0000

(2)
# CaGa2Au4

A relaxed structure of CaGa2Au4 (PBE, Alexandria).

Energy relative to the lowest polymorph listed for this composition in meV/atom: 38

a b c (Å): 8.816 7.119 5.449
angles (deg): 90.00 127.39 90.00
Space group C2/m (No. 12)
Asymmetric unit:
Ca1 0.000 0.000 0.000
Ga1 0.003 0.500 0.751
Au1 0.202 0.198 0.702

(3)
# CaGa2Au

A relaxed structure of CaGa2Au (PBE, Alexandria).

a b c (Å): 6.808 6.808 6.808
angles (deg): 90.00 90.00 90.00
Space group Fm-3m (No. 225)
Asymmetric unit:
Ca1 0.000 0.000 0.000
Ga1 0.250 0.250 0.250
Au1 0.000 0.000 0.500

(4)
# Ca5Ga2Au2

A relaxed structure of Ca5Ga2Au2 (PBE, Alexandria).

a b c (Å): 15.653 7.905 8.023
angles (deg): 90.00 90.00 90.00
Space group Cmce (No. 64)
Asymmetric unit:
Ca1 0.000 0.000 0.000
Ca2 0.140 0.174 0.331
Ga1 0.000 0.114 0.615
Au1 0.201 0.000 0.000

Number 1: density of states at the Fermi level 16.894 states/eV/cell, formation energy -41 kJ per mole of atoms. Number 2: density of states at the Fermi level 5.010 states/eV/cell, formation energy -40 kJ per mole of atoms. Number 3: density of states at the Fermi level 9.246 states/eV/cell, formation energy -36 kJ per mole of atoms. Number 4: density of states at the Fermi level 26.417 states/eV/cell, formation energy -54 kJ per mole of atoms.